# ErTm5ThIn2 | Alexandria | PBE | optimized geometry
data_ErTm5ThIn2
_cell_length_a 7.5371
_cell_length_b 7.5371
_cell_length_c 19.2542
_cell_angle_alpha 90.00
_cell_angle_beta 90.00
_cell_angle_gamma 90.00
_symmetry_space_group_name_H-M 'I 4/m c m'
_symmetry_Int_Tables_number 140
_symmetry_space_group_name_Hall '-I 4 2c'
loop_
_atom_site_label
_atom_site_fract_x
_atom_site_fract_y
_atom_site_fract_z
Er1 0.0000 0.5000 0.2500
Tm1 0.0000 0.0000 0.0000
Tm2 0.2040 0.2960 0.1244
Th1 0.0000 0.0000 0.2500
In1 0.1244 0.3756 0.5000
# Total magnetization ... 0.0 μB/f.u.
# Density of states at the Fermi level ... 1.51 states/eV/atom
# Total DFT energy (no corrections) ... -4.393 eV/atom